Record 1
ZrTlCu3 | PBE | optimized geometry

Geometry as POSCAR:
```
ZrTlCu3
1.0
4.737 0.000 0.000
0.000 4.737 0.000
0.000 0.000 4.737
Tl Cu Zr
1 3 1
direct
0.000 0.000 0.000
0.000 0.500 0.000
0.000 0.000 0.500
0.500 0.000 0.000
0.500 0.500 0.500
```

Calculated density: 7.595 g/cm3
E above lowest polymorph: 0.0000 eV/atom
Fermi-level density of states: 4.74 states/eV per cell
Energy of formation from the pure elements: 956 meV/atom
Raw total energy: -3.685 eV/atom

Record 2
Zr2Tl2Cu | PBE | optimized geometry

Geometry as POSCAR:
```
Zr2Tl2Cu
1.0
7.051 0.000 0.000
0.000 7.051 0.000
0.000 0.000 4.708
Tl Cu Zr
4 2 4
direct
0.160 0.660 0.500
0.660 0.840 0.500
0.840 0.340 0.500
0.340 0.160 0.500
0.000 0.000 0.000
0.500 0.500 0.000
0.345 0.845 0.000
0.845 0.655 0.000
0.655 0.155 0.000
0.155 0.345 0.000
```

Calculated density: 9.292 g/cm3
E above lowest polymorph: 0.0673 eV/atom
Fermi-level density of states: 11.34 states/eV per cell
Energy of formation from the pure elements: 208 meV/atom
Raw total energy: -4.977 eV/atom

Record 3
ZrTlCu2 | PBE | optimized geometry

Geometry as POSCAR:
```
ZrTlCu2
1.0
-2.731 -1.517 1.844
-0.906 -1.582 -2.643
2.810 -6.503 -1.189
Cu Tl Zr
2 1 1
direct
0.000 0.014 0.974
0.000 0.486 0.526
0.500 0.250 0.250
0.500 0.750 0.750
```

Calculated density: 9.519 g/cm3
Fermi-level density of states: 3.02 states/eV per cell
Energy of formation from the pure elements: 72 meV/atom
Raw total energy: -4.705 eV/atom

Record 4
ZrTlCu2 | PBE | optimized geometry

Geometry as POSCAR:
```
ZrTlCu2
1.0
4.745 -0.002 0.016
3.742 2.918 0.016
0.803 0.276 5.399
Cu Tl Zr
2 1 1
direct
0.996 0.996 0.039
0.504 0.504 0.461
0.750 0.750 0.750
0.250 0.250 0.250
```

Calculated density: 9.391 g/cm3
Fermi-level density of states: 2.36 states/eV per cell
Energy of formation from the pure elements: 143 meV/atom
Raw total energy: -4.634 eV/atom

Record 5
ZrTlCu2 | PBE | optimized geometry

Geometry as POSCAR:
```
ZrTlCu2
1.0
3.188 0.000 0.000
0.000 3.186 0.000
0.000 0.000 7.007
Cu Tl Zr
2 1 1
direct
0.000 0.000 0.037
0.500 0.500 0.204
0.000 0.000 0.468
0.500 0.500 0.791
```

Calculated density: 9.862 g/cm3
Fermi-level density of states: 2.40 states/eV per cell
Energy of formation from the pure elements: 67 meV/atom
Raw total energy: -4.710 eV/atom

Record 6
ZrTlCu2 | PBE | optimized geometry

Geometry as POSCAR:
```
ZrTlCu2
1.0
-3.829 3.434 5.190
-6.020 -3.590 -2.065
-4.286 -2.243 3.466
Tl Cu Zr
2 4 2
direct
0.000 0.000 0.000
0.750 0.250 0.500
0.626 0.125 0.250
0.124 0.625 0.250
0.375 0.374 0.750
0.875 0.876 0.750
0.500 0.500 0.000
0.250 0.750 0.500
```

Calculated density: 8.904 g/cm3
Fermi-level density of states: 9.64 states/eV per cell
Energy of formation from the pure elements: 380 meV/atom
Raw total energy: -4.397 eV/atom